DFT (PBE) results for a relaxed structure of MgRhS2N.

Results
**Size of the total moment**: 0.00 μB per cell
**Distance to the lowest polymorph of the same formula**: 0.000 eV/atom

Lattice parameters (Å, degrees): 4.9095 4.9095 3.6306 90.00 90.00 90.00
Fractional coordinates of all 5 atoms:
Mg: 0.0000 0.0000 0.0000
Rh: 0.5000 0.5000 0.5000
S: 0.0000 0.5000 0.5000
S: 0.5000 0.0000 0.5000
N: 0.5000 0.5000 0.0000



DFT (PBE) results for a relaxed structure of SrGa3Pd.

Results
**Size of the total moment**: 0.00 μB per cell
**Raw total energy**: -36.63 eV for the cell shown

Lattice parameters (Å, degrees): 6.4585 6.4585 5.8257 90.00 90.00 120.01
Fractional coordinates of all 10 atoms:
Sr: 0.1664 0.8336 0.7500
Sr: 0.8336 0.1664 0.2500
Ga: 0.1176 0.3092 0.7500
Ga: 0.3092 0.1176 0.2500
Ga: 0.3088 0.6912 0.2500
Ga: 0.6912 0.3088 0.7500
Ga: 0.6908 0.8824 0.7500
Ga: 0.8824 0.6908 0.2500
Pd: 0.5000 0.5000 0.0000
Pd: 0.5000 0.5000 0.5000



DFT (PBE) results for a relaxed structure of Nd2Ge4PtRh3.

Results
**Size of the total moment**: 0.00 μB per cell
**Raw total energy**: -64.87 eV for the cell shown

Lattice parameters (Å, degrees): 4.2619 4.2619 10.2627 90.00 90.00 90.00
Fractional coordinates of all 10 atoms:
Nd: 0.0000 0.5000 0.2408
Nd: 0.5000 0.0000 0.7592
Ge: 0.0000 0.0000 0.0000
Ge: 0.0000 0.5000 0.6369
Ge: 0.5000 0.0000 0.3631
Ge: 0.5000 0.5000 0.0000
Pt: 0.0000 0.0000 0.5000
Rh: 0.0000 0.5000 0.8741
Rh: 0.5000 0.0000 0.1259
Rh: 0.5000 0.5000 0.5000



DFT (PBE) results for a relaxed structure of ZrSi.

Results
**Size of the total moment**: 0.00 μB per cell
**Raw total energy**: -29.10 eV for the cell shown

Lattice parameters (Å, degrees): 3.2008 3.2008 7.2475 90.00 90.00 90.00
Fractional coordinates of all 4 atoms:
Zr: 0.2500 0.2500 0.1871
Zr: 0.7500 0.7500 0.8129
Si: 0.2500 0.2500 0.5795
Si: 0.7500 0.7500 0.4205



DFT (PBE) results for a relaxed structure of Ca2GeSe.

Results
**Size of the total moment**: 0.00 μB per cell
**Distance to the lowest polymorph of the same formula**: 0.074 eV/atom

Lattice parameters (Å, degrees): 3.5528 3.5528 7.7887 90.00 90.00 90.00
Fractional coordinates of all 4 atoms:
Ca: 0.0000 0.0000 0.2313
Ca: 0.0000 0.0000 0.7687
Ge: 0.5000 0.5000 0.5000
Se: 0.5000 0.5000 0.0000



DFT (PBE) results for a relaxed structure of Ce2Zn3Au4.

Results
**Size of the total moment**: 3.22 μB per cell
**Distance to the lowest polymorph of the same formula**: 0.031 eV/atom

Lattice parameters (Å, degrees): 8.3770 8.3770 7.9363 90.00 90.00 138.47
Fractional coordinates of all 18 atoms:
Ce: 0.1164 0.8836 0.9164
Ce: 0.3836 0.6164 0.4164
Ce: 0.6164 0.3836 0.5836
Ce: 0.8836 0.1164 0.0836
Zn: 0.0000 0.0000 0.5000
Zn: 0.0293 0.4707 0.7500
Zn: 0.4707 0.0293 0.2500
Zn: 0.5000 0.5000 0.0000
Zn: 0.5293 0.9707 0.7500
Zn: 0.9707 0.5293 0.2500
Au: 0.1831 0.8169 0.5320
Au: 0.2017 0.2983 0.7500
Au: 0.2983 0.2017 0.2500
Au: 0.3169 0.6831 0.0320
Au: 0.6831 0.3169 0.9680
Au: 0.7017 0.7983 0.7500
Au: 0.7983 0.7017 0.2500
Au: 0.8169 0.1831 0.4680